Entry 1:
First-principles (PBE) data for a relaxed Li2CaPrGe2 crystal, as listed in Alexandria via LeMat-Bulk.

```
Li2CaPrGe2
1.0
4.556 0.000 0.000
-2.278 3.945 0.000
0.000 0.000 7.453
Li Ca Pr Ge
2 1 1 2
direct
0.333 0.667 0.232
0.667 0.333 0.768
0.000 0.000 0.000
0.000 0.000 0.500
0.333 0.667 0.739
0.667 0.333 0.261
```

Computed properties:
Its density of states at the Fermi level is 2.7 states/eV/f.u. The calculated total energy comes out at -3.89 eV/atom.

=====

Entry 2:
First-principles (PBE) data for a relaxed ReCl3 crystal, as listed in Alexandria via LeMat-Bulk.

```
ReCl3
1.0
-4.213 4.213 2.483
4.213 -4.213 2.483
4.213 4.213 -2.483
Re Cl
2 6
direct
0.000 0.000 0.000
0.750 0.250 0.500
0.250 0.750 0.500
0.375 0.234 0.359
0.500 0.500 0.000
0.766 0.125 0.141
0.875 0.016 0.641
0.984 0.625 0.859
```

Computed properties:
Its raw formation energy is 0.1 eV per formula unit. Its density of states at the Fermi level is 3.1 states/eV/f.u. The calculated total energy comes out at -4.48 eV/atom.

=====

Entry 3:
First-principles (PBE) data for a relaxed Tb6Nd3HoTm2 crystal, as listed in Alexandria via LeMat-Bulk.

```
Tb6Nd3HoTm2
1.0
3.099 -5.365 0.000
3.099 5.365 0.000
-2.060 0.000 11.661
Tb Nd Ho Tm
6 3 1 2
direct
0.085 0.418 0.755
0.248 0.248 0.245
0.418 0.085 0.755
0.582 0.915 0.245
0.752 0.752 0.755
0.915 0.582 0.245
0.000 0.000 0.500
0.333 0.667 0.500
0.667 0.333 0.500
0.500 0.500 0.000
0.167 0.833 0.000
0.833 0.167 0.000
```

Computed properties:
Its density of states at the Fermi level is 16.0 states/eV/f.u. The calculated total energy comes out at -4.61 eV/atom.

=====

Entry 4:
First-principles (PBE) data for a relaxed ErMgZrTl crystal, as listed in Alexandria via LeMat-Bulk.

```
ErMgZrTl
1.0
0.000 3.636 3.636
3.636 0.000 3.636
3.636 3.636 0.000
Er Mg Zr Tl
1 1 1 1
direct
0.000 0.000 0.000
0.750 0.750 0.750
0.500 0.500 0.500
0.250 0.250 0.250
```

Computed properties:
Its density of states at the Fermi level is 3.3 states/eV/f.u. The calculated total energy comes out at -4.32 eV/atom.

=====

Entry 5:
First-principles (PBE) data for a relaxed BeMoBr2 crystal, as listed in Alexandria via LeMat-Bulk.

```
BeMoBr2
1.0
-1.875 1.875 5.981
1.875 -1.875 5.981
1.875 1.875 -5.981
Be Mo Br
1 1 2
direct
0.000 0.000 0.000
0.750 0.250 0.500
0.250 0.750 0.500
0.500 0.500 0.000
```

Computed properties:
Its raw formation energy is 3.9 eV per formula unit. Its density of states at the Fermi level is 2.6 states/eV/f.u. The calculated total energy comes out at -3.50 eV/atom.

=====

Entry 6:
First-principles (PBE) data for a relaxed Sr2AlPdO5 crystal, as listed in Alexandria via LeMat-Bulk.

```
Sr2AlPdO5
1.0
1.711 -6.979 0.000
1.711 6.979 0.000
0.000 0.000 10.361
Sr Al Pd O
4 2 2 10
direct
0.111 0.889 0.500
0.138 0.862 0.137
0.862 0.138 0.637
0.889 0.111 0.000
0.438 0.562 0.261
0.562 0.438 0.761
0.210 0.790 0.847
0.790 0.210 0.347
0.055 0.945 0.837
0.288 0.712 0.467
0.315 0.685 0.203
0.354 0.646 0.829
0.497 0.503 0.618
0.503 0.497 0.118
0.646 0.354 0.329
0.685 0.315 0.703
0.712 0.288 0.967
0.945 0.055 0.337
```

Computed properties:
Its raw formation energy is -19.3 eV per formula unit. Its density of states at the Fermi level is 2.1 states/eV/f.u. The calculated total energy comes out at -6.26 eV/atom.

=====

Entry 7:
First-principles (PBE) data for a relaxed ZnAsS3 crystal, as listed in Alexandria via LeMat-Bulk.

```
ZnAsS3
1.0
6.219 0.000 0.000
0.000 3.551 0.000
-1.373 0.000 10.167
Zn As S
2 2 6
direct
0.027 0.250 0.249
0.973 0.750 0.751
0.420 0.250 0.822
0.580 0.750 0.178
0.135 0.250 0.653
0.239 0.750 0.947
0.398 0.250 0.292
0.602 0.750 0.708
0.761 0.250 0.053
0.865 0.750 0.347
```

Computed properties:
Its raw formation energy is -0.9 eV per formula unit. Its density of states at the Fermi level is 1.4 states/eV/f.u. The calculated total energy comes out at -3.85 eV/atom.

=====

Entry 8:
First-principles (PBE) data for a relaxed Cd2TcHg crystal, as listed in Alexandria via LeMat-Bulk.

```
Cd2TcHg
1.0
2.983 0.000 0.000
0.000 2.983 0.000
0.000 0.000 8.913
Cd Tc Hg
2 1 1
direct
0.000 0.000 0.000
0.500 0.500 0.272
0.500 0.500 0.774
0.000 0.000 0.545
```

Computed properties:
Its density of states at the Fermi level is 3.2 states/eV/f.u. The calculated total energy comes out at -2.71 eV/atom.

=====

Entry 9:
First-principles (PBE) data for a relaxed MnFeHPt2 crystal, as listed in Alexandria via LeMat-Bulk.

```
MnFeHPt2
1.0
3.930 0.000 0.000
0.000 3.930 0.000
0.000 0.000 3.935
Mn Fe H Pt
1 1 1 2
direct
0.000 0.000 0.000
0.500 0.500 0.000
0.000 0.000 0.500
0.000 0.500 0.500
0.500 0.000 0.500
```

Computed properties:
Its density of states at the Fermi level is 3.3 states/eV/f.u. The calculated total energy comes out at -6.71 eV/atom.

=====

Entry 10:
First-principles (PBE) data for a relaxed PrThSc crystal, as listed in Alexandria via LeMat-Bulk.

```
PrThSc
1.0
3.542 0.000 0.000
-1.771 3.068 0.000
0.000 0.000 8.527
Pr Th Sc
1 1 1
direct
0.000 0.000 0.000
0.333 0.667 0.652
0.667 0.333 0.341
```

Computed properties:
Its density of states at the Fermi level is 5.1 states/eV/f.u. The calculated total energy comes out at -6.10 eV/atom.

=====

Entry 11:
First-principles (PBE) data for a relaxed Na9Cd4Pb crystal, as listed in Alexandria via LeMat-Bulk.

```
Na9Cd4Pb
1.0
10.032 0.000 0.000
-5.016 8.688 0.000
0.000 0.000 9.707
Na Cd Pb
18 8 2
direct
0.072 0.536 0.250
0.191 0.382 0.553
0.191 0.382 0.947
0.191 0.809 0.553
0.191 0.809 0.947
0.382 0.191 0.053
0.382 0.191 0.447
0.464 0.536 0.250
0.464 0.928 0.250
0.536 0.072 0.750
0.536 0.464 0.750
0.618 0.809 0.553
0.618 0.809 0.947
0.809 0.191 0.053
0.809 0.191 0.447
0.809 0.618 0.053
0.809 0.618 0.447
0.928 0.464 0.750
0.000 0.000 0.000
0.000 0.000 0.500
0.111 0.221 0.250
0.111 0.889 0.250
0.221 0.111 0.750
0.779 0.889 0.250
0.889 0.111 0.750
0.889 0.779 0.750
0.333 0.667 0.750
0.667 0.333 0.250
```

Computed properties:
Its density of states at the Fermi level is 6.3 states/eV/f.u. The calculated total energy comes out at -1.47 eV/atom.

=====

Entry 12:
First-principles (PBE) data for a relaxed Ta3TiCd crystal, as listed in Alexandria via LeMat-Bulk.

```
Ta3TiCd
1.0
4.948 0.000 0.000
0.000 4.948 0.000
0.000 0.000 4.948
Ta Ti Cd
3 1 1
direct
0.000 0.000 0.500
0.000 0.500 0.000
0.500 0.000 0.000
0.500 0.500 0.500
0.000 0.000 0.000
```

Computed properties:
Its density of states at the Fermi level is 6.2 states/eV/f.u. The calculated total energy comes out at -6.71 eV/atom.